# 1
First-principles (PBE) data for a relaxed structure of Ca5Mg4, as listed in Alexandria.

The space group is P6_3/mcm (No. 193) and the conventional cell measures 9.9800, 9.9800 and 6.9253 Å, with angles of 90.00, 90.00 and 120.00 degrees. The distinct sites, in fractional coordinates, are Ca at (0.0000, 0.2965, 0.2500), Ca at (0.3333, 0.6667, 0.0000), Mg at (0.0000, 0.0000, 0.0000) and Mg at (0.0000, 0.3647, 0.7500).

The energy of formation from the pure elements comes out at -16.4 meV/atom. The energy above the most stable polymorph in this dataset is 28 meV per atom. The value obtained for the energy is -33.1 eV for the cell shown. The crystal system is hexagonal.



# 2
First-principles (PBE) data for a relaxed structure of Ca2Mg3, as listed in Alexandria.

The space group is Fdd2 (No. 43) and the conventional cell measures 11.350, 30.030 and 3.534 Å, with angles of 90.00, 90.00 and 90.00 degrees. The distinct sites, in fractional coordinates, are Ca at (0.021, 0.304, 0.000), Mg at (0.000, 0.000, 0.311) and Mg at (0.029, 0.403, 0.422).

The energy of formation from the pure elements comes out at 34.0 meV/atom. The value obtained for the energy is -68.9 eV for the cell shown. The crystal system is orthorhombic.



# 3
First-principles (PBE) data for a relaxed structure of CaMg4, as listed in Alexandria.

The space group is P-1 (No. 2) and the conventional cell measures 3.515, 5.187 and 7.907 Å, with angles of 108.86, 102.36 and 90.13 degrees. The distinct sites, in fractional coordinates, are Ca at (0.000, 0.000, 0.000), Mg at (0.278, 0.783, 0.567) and Mg at (0.400, 0.396, 0.792).

The energy of formation from the pure elements comes out at -26.0 meV/atom. The energy above the most stable polymorph in this dataset is 0 meV per atom. The value obtained for the energy is -8.5 eV for the cell shown. The crystal system is triclinic.